A plane-wave DFT calculation with PBE-GGA was carried out for crystalline Nd3Y4Te8 at its relaxed geometry.

Cell: 8.817 8.826 8.826 Å, 90.03 119.93 119.93°
Element x y z (fractional)
Y (0.500, 0.000, 0.000)
Y (0.000, 0.000, 0.000)
Y (0.000, 0.500, 0.000)
Y (0.000, 0.000, 0.500)
Te (0.505, 0.249, 0.249)
Te (0.495, 0.751, 0.751)
Te (0.000, 0.253, 0.747)
Te (0.007, 0.751, 0.751)
Te (0.500, 0.754, 0.246)
Te (0.000, 0.747, 0.253)
Te (0.500, 0.246, 0.754)
Te (0.993, 0.249, 0.249)
Nd (0.500, 0.500, 0.000)
Nd (0.500, 0.500, 0.500)
Nd (0.500, 0.000, 0.500)

Calculated values
magnetic moment = 0.0 μB/cell
raw total energy = -86.5 eV for the cell shown
crystal system = monoclinic